# 1
First-principles (GGA-PBE) data for a relaxed structure of PrNiGe2Ru, as listed in the Alexandria database.

CIF file:
```
data_PrNiGe2Ru
_space_group_name_H-M_alt 'P 1'
_space_group_IT_number 1
_cell_length_a 4.101
_cell_length_b 4.101
_cell_length_c 6.085
_cell_angle_alpha 109.69
_cell_angle_beta 109.69
_cell_angle_gamma 90.00
loop_
_space_group_symop_operation_xyz
'x,y,z'
loop_
_atom_site_label
_atom_site_type_symbol
_atom_site_fract_x
_atom_site_fract_y
_atom_site_fract_z
Pr1 Pr 0.000 0.000 0.000
Ni1 Ni 0.750 0.250 0.500
Ge1 Ge 0.627 0.627 0.254
Ge2 Ge 0.373 0.373 0.746
Ru1 Ru 0.250 0.750 0.500
```

Computed properties:
ΔH_f (0 K): -3.175 eV per formula unit
Spin magnetization: 0.00 μB/cell
DOS at the Fermi energy: 0.431 states/eV/atom
Symmetry: I-4m2 (119)
Calculated total energy: -6.449 eV/atom

# 2
First-principles (GGA-PBE) data for a relaxed structure of Pr2Ni4Ge3Ru, as listed in the Alexandria database.

CIF file:
```
data_Pr2Ni4Ge3Ru
_space_group_name_H-M_alt 'P 1'
_space_group_IT_number 1
_cell_length_a 4.118
_cell_length_b 4.118
_cell_length_c 10.013
_cell_angle_alpha 90.00
_cell_angle_beta 90.00
_cell_angle_gamma 90.00
loop_
_space_group_symop_operation_xyz
'x,y,z'
loop_
_atom_site_label
_atom_site_type_symbol
_atom_site_fract_x
_atom_site_fract_y
_atom_site_fract_z
Pr1 Pr 0.500 0.000 0.248
Pr2 Pr 0.000 0.500 0.752
Ni1 Ni 0.500 0.500 0.000
Ni2 Ni 0.000 0.000 0.000
Ni3 Ni 0.500 0.000 0.633
Ni4 Ni 0.000 0.500 0.367
Ge1 Ge 0.000 0.000 0.500
Ge2 Ge 0.500 0.000 0.876
Ge3 Ge 0.000 0.500 0.124
Ru1 Ru 0.500 0.500 0.500
```

Computed properties:
ΔH_f (0 K): -5.203 eV per formula unit
Spin magnetization: 1.36 μB/cell
DOS at the Fermi energy: 0.787 states/eV/atom
Symmetry: P-4m2 (115)
Calculated total energy: -6.102 eV/atom

# 3
First-principles (GGA-PBE) data for a relaxed structure of Pr2Ni4GeSb3, as listed in the Alexandria database.

CIF file:
```
data_Pr2Ni4GeSb3
_space_group_name_H-M_alt 'P 1'
_space_group_IT_number 1
_cell_length_a 4.398
_cell_length_b 4.398
_cell_length_c 10.033
_cell_angle_alpha 90.00
_cell_angle_beta 90.00
_cell_angle_gamma 90.00
loop_
_space_group_symop_operation_xyz
'x,y,z'
loop_
_atom_site_label
_atom_site_type_symbol
_atom_site_fract_x
_atom_site_fract_y
_atom_site_fract_z
Pr1 Pr 0.500 0.000 0.250
Pr2 Pr 0.000 0.500 0.750
Ni1 Ni 0.500 0.500 0.000
Ni2 Ni 0.000 0.000 0.000
Ni3 Ni 0.500 0.000 0.617
Ni4 Ni 0.000 0.500 0.383
Ge1 Ge 0.500 0.500 0.500
Sb1 Sb 0.000 0.000 0.500
Sb2 Sb 0.500 0.000 0.870
Sb3 Sb 0.000 0.500 0.130
```

Computed properties:
Spin magnetization: 0.00 μB/cell
DOS at the Fermi energy: 0.662 states/eV/atom
Symmetry: P-4m2 (115)
Calculated total energy: -5.637 eV/atom

# 4
First-principles (GGA-PBE) data for a relaxed structure of Pr2Ni4Ge3Sb, as listed in the Alexandria database.

CIF file:
```
data_Pr2Ni4Ge3Sb
_space_group_name_H-M_alt 'P 1'
_space_group_IT_number 1
_cell_length_a 4.264
_cell_length_b 4.264
_cell_length_c 9.841
_cell_angle_alpha 90.00
_cell_angle_beta 90.00
_cell_angle_gamma 90.00
loop_
_space_group_symop_operation_xyz
'x,y,z'
loop_
_atom_site_label
_atom_site_type_symbol
_atom_site_fract_x
_atom_site_fract_y
_atom_site_fract_z
Pr1 Pr 0.500 0.000 0.237
Pr2 Pr 0.000 0.500 0.763
Ni1 Ni 0.500 0.500 0.000
Ni2 Ni 0.000 0.000 0.000
Ni3 Ni 0.500 0.000 0.634
Ni4 Ni 0.000 0.500 0.366
Ge1 Ge 0.000 0.000 0.500
Ge2 Ge 0.500 0.000 0.879
Ge3 Ge 0.000 0.500 0.121
Sb1 Sb 0.500 0.500 0.500
```

Computed properties:
Spin magnetization: 0.00 μB/cell
DOS at the Fermi energy: 0.674 states/eV/atom
Symmetry: P-4m2 (115)
Calculated total energy: -5.711 eV/atom

# 5
First-principles (GGA-PBE) data for a relaxed structure of Pr2ScNi3Ge4, as listed in the Alexandria database.

CIF file:
```
data_Pr2ScNi3Ge4
_space_group_name_H-M_alt 'P 1'
_space_group_IT_number 1
_cell_length_a 4.175
_cell_length_b 4.175
_cell_length_c 10.644
_cell_angle_alpha 90.00
_cell_angle_beta 90.00
_cell_angle_gamma 90.00
loop_
_space_group_symop_operation_xyz
'x,y,z'
loop_
_atom_site_label
_atom_site_type_symbol
_atom_site_fract_x
_atom_site_fract_y
_atom_site_fract_z
Pr1 Pr 0.500 0.000 0.231
Pr2 Pr 0.000 0.500 0.769
Sc1 Sc 0.500 0.500 0.500
Ni1 Ni 0.000 0.000 0.500
Ni2 Ni 0.500 0.000 0.886
Ni3 Ni 0.000 0.500 0.114
Ge1 Ge 0.500 0.500 0.000
Ge2 Ge 0.000 0.000 0.000
Ge3 Ge 0.500 0.000 0.658
Ge4 Ge 0.000 0.500 0.342
```

Computed properties:
ΔH_f (0 K): -6.976 eV per formula unit
Spin magnetization: 0.00 μB/cell
DOS at the Fermi energy: 0.550 states/eV/atom
Symmetry: P-4m2 (115)
Calculated total energy: -5.868 eV/atom

# 6
First-principles (GGA-PBE) data for a relaxed structure of Pr2Si3Ni4Ge, as listed in the Alexandria database.

CIF file:
```
data_Pr2Si3Ni4Ge
_space_group_name_H-M_alt 'P 1'
_space_group_IT_number 1
_cell_length_a 4.104
_cell_length_b 4.104
_cell_length_c 9.610
_cell_angle_alpha 90.00
_cell_angle_beta 90.00
_cell_angle_gamma 90.00
loop_
_space_group_symop_operation_xyz
'x,y,z'
loop_
_atom_site_label
_atom_site_type_symbol
_atom_site_fract_x
_atom_site_fract_y
_atom_site_fract_z
Pr1 Pr 0.500 0.000 0.248
Pr2 Pr 0.000 0.500 0.752
Si1 Si 0.000 0.000 0.500
Si2 Si 0.500 0.000 0.877
Si3 Si 0.000 0.500 0.123
Ni1 Ni 0.500 0.500 0.000
Ni2 Ni 0.000 0.000 0.000
Ni3 Ni 0.500 0.000 0.628
Ni4 Ni 0.000 0.500 0.372
Ge1 Ge 0.500 0.500 0.500
```

Computed properties:
Spin magnetization: 0.00 μB/cell
DOS at the Fermi energy: 0.612 states/eV/atom
Symmetry: P-4m2 (115)
Calculated total energy: -6.108 eV/atom

Please write out number 4 again, unchanged.
First-principles (GGA-PBE) data for a relaxed structure of Pr2Ni4Ge3Sb, as listed in the Alexandria database.

CIF file:
```
data_Pr2Ni4Ge3Sb
_space_group_name_H-M_alt 'P 1'
_space_group_IT_number 1
_cell_length_a 4.264
_cell_length_b 4.264
_cell_length_c 9.841
_cell_angle_alpha 90.00
_cell_angle_beta 90.00
_cell_angle_gamma 90.00
loop_
_space_group_symop_operation_xyz
'x,y,z'
loop_
_atom_site_label
_atom_site_type_symbol
_atom_site_fract_x
_atom_site_fract_y
_atom_site_fract_z
Pr1 Pr 0.500 0.000 0.237
Pr2 Pr 0.000 0.500 0.763
Ni1 Ni 0.500 0.500 0.000
Ni2 Ni 0.000 0.000 0.000
Ni3 Ni 0.500 0.000 0.634
Ni4 Ni 0.000 0.500 0.366
Ge1 Ge 0.000 0.000 0.500
Ge2 Ge 0.500 0.000 0.879
Ge3 Ge 0.000 0.500 0.121
Sb1 Sb 0.500 0.500 0.500
```

Computed properties:
Spin magnetization: 0.00 μB/cell
DOS at the Fermi energy: 0.674 states/eV/atom
Symmetry: P-4m2 (115)
Calculated total energy: -5.711 eV/atom